VASP calculation (PBE-GGA) on a relaxed structure of Nd3Cd7Ga4.

Values from the calculation:
- Energy relative to the elements: -5.22 eV per formula unit
- Magnetic moment: 0.0 μB per formula unit
- N(E_F): 4.03 states/eV/f.u.
- Symmetry: C2/m
- Total energy: -2.717 eV per atom

Cell and atoms, written as POSCAR:
```
Nd3Cd7Ga4
1.0
8.4943 -2.2838 0.0000
8.4943 2.2838 0.0000
-6.1026 0.0000 8.2634
Nd Cd Ga
3 7 4
direct
0.0000 0.0000 0.0000
0.2993 0.2993 0.2860
0.7007 0.7007 0.7140
0.0000 0.0000 0.5000
0.1599 0.1599 0.4307
0.3402 0.3402 0.9866
0.4894 0.4894 0.6835
0.5106 0.5106 0.3165
0.6598 0.6598 0.0134
0.8401 0.8401 0.5693
0.1373 0.1373 0.8513
0.3473 0.3473 0.7354
0.6527 0.6527 0.2646
0.8627 0.8627 0.1487
```

***

VASP calculation (PBE-GGA) on a relaxed structure of Nd6Cd3Ga.

Values from the calculation:
- Energy relative to the elements: -2.78 eV per formula unit
- Magnetic moment: 0.0 μB per formula unit
- N(E_F): 10.36 states/eV/f.u.
- Symmetry: P2_1/m
- Total energy: -3.716 eV per atom

Cell and atoms, written as POSCAR:
```
Nd6Cd3Ga
1.0
9.4623 0.0000 0.0000
0.0000 5.3885 0.0000
-3.6091 0.0000 11.4075
Nd Cd Ga
12 6 2
direct
0.0297 0.2500 0.4110
0.1641 0.7500 0.1696
0.2598 0.2500 0.9989
0.3550 0.7500 0.8260
0.3694 0.2500 0.3437
0.3997 0.2500 0.6292
0.6003 0.7500 0.3708
0.6306 0.7500 0.6563
0.6450 0.2500 0.1740
0.7402 0.7500 0.0011
0.8359 0.2500 0.8304
0.9703 0.7500 0.5890
0.0278 0.7500 0.8734
0.1088 0.2500 0.7195
0.2695 0.7500 0.4697
0.7305 0.2500 0.5303
0.8912 0.7500 0.2805
0.9722 0.2500 0.1266
0.4561 0.7500 0.1040
0.5439 0.2500 0.8960
```

***

VASP calculation (PBE-GGA) on a relaxed structure of NdCd2Ga.

Values from the calculation:
- ΔE to the lowest computed polymorph: 0 meV per atom
- Energy relative to the elements: -1.39 eV per formula unit
- Magnetic moment: 0.0 μB per formula unit
- N(E_F): 2.88 states/eV/f.u.
- Symmetry: P4/mmm
- Total energy: -2.754 eV per atom

Cell and atoms, written as POSCAR:
```
NdCd2Ga
1.0
4.4350 0.0000 0.0000
0.0000 4.4350 0.0000
0.0000 0.0000 4.9162
Nd Cd Ga
1 2 1
direct
0.0000 0.0000 0.0000
0.0000 0.5000 0.5000
0.5000 0.0000 0.5000
0.5000 0.5000 0.0000
```

***

VASP calculation (PBE-GGA) on a relaxed structure of Nd3Cd3Ga8.

Values from the calculation:
- Energy relative to the elements: -6.08 eV per formula unit
- Magnetic moment: 0.0 μB per formula unit
- N(E_F): 5.70 states/eV/f.u.
- Symmetry: Immm
- Total energy: -3.382 eV per atom

Cell and atoms, written as POSCAR:
```
Nd3Cd3Ga8
1.0
-2.1729 5.1389 6.6757
2.1729 -5.1389 6.6757
2.1729 5.1389 -6.6757
Nd Cd Ga
3 3 8
direct
0.0000 0.0000 0.0000
0.3080 0.3080 0.0000
0.6920 0.6920 0.0000
0.2872 0.5000 0.7872
0.5000 0.0000 0.5000
0.7128 0.5000 0.2128
0.0365 0.6619 0.3746
0.1218 0.8487 0.2731
0.2872 0.6619 0.6254
0.4244 0.1513 0.2731
0.5756 0.8487 0.7269
0.7128 0.3381 0.3746
0.8782 0.1513 0.7269
0.9635 0.3381 0.6254
```

***

VASP calculation (PBE-GGA) on a relaxed structure of Nd12Cd6Ga.

Values from the calculation:
- Energy relative to the elements: -2.73 eV per formula unit
- Magnetic moment: 0.0 μB per formula unit
- N(E_F): 22.00 states/eV/f.u.
- Symmetry: R-3
- Total energy: -3.603 eV per atom

Cell and atoms, written as POSCAR:
```
Nd12Cd6Ga
1.0
5.7999 3.3486 4.8588
-5.7999 3.3486 4.8588
0.0000 -6.6972 4.8588
Nd Cd Ga
12 6 1
direct
0.0298 0.3056 0.9471
0.0529 0.9702 0.6944
0.1355 0.3557 0.4811
0.3056 0.9471 0.0298
0.3557 0.4811 0.1355
0.4811 0.1355 0.3557
0.5189 0.8645 0.6443
0.6443 0.5189 0.8645
0.6944 0.0529 0.9702
0.8645 0.6443 0.5189
0.9471 0.0298 0.3056
0.9702 0.6944 0.0529
0.2362 0.7607 0.3896
0.2393 0.6104 0.7638
0.3896 0.2362 0.7607
0.6104 0.7638 0.2393
0.7607 0.3896 0.2362
0.7638 0.2393 0.6104
0.5000 0.5000 0.5000
```

***

VASP calculation (PBE-GGA) on a relaxed structure of Nd2CdGa.

Values from the calculation:
- Energy relative to the elements: -1.03 eV per formula unit
- Magnetic moment: 0.0 μB per formula unit
- N(E_F): 3.87 states/eV/f.u.
- Symmetry: R-3m
- Total energy: -3.628 eV per atom

Cell and atoms, written as POSCAR:
```
Nd2CdGa
1.0
3.7936 0.0000 0.0000
-1.8968 3.2854 0.0000
0.0000 0.0000 28.3694
Nd Cd Ga
6 3 3
direct
0.0000 0.0000 0.2433
0.0000 0.0000 0.7567
0.3333 0.6667 0.4234
0.3333 0.6667 0.9100
0.6667 0.3333 0.0900
0.6667 0.3333 0.5766
0.0000 0.0000 0.0000
0.3333 0.6667 0.6667
0.6667 0.3333 0.3333
0.0000 0.0000 0.5000
0.3333 0.6667 0.1667
0.6667 0.3333 0.8333
```